# TaSi2Sb

A relaxed structure of TaSi2Sb (GGA-PBE, Alexandria via LeMat-Bulk).

a = 5.401 Å, b = 5.401 Å, c = 3.354 Å
α = 106.63°, β = 106.63°, γ = 116.18°
Positions (direct):
Ta: 0.000 0.000 0.000
Si: 0.000 0.500 0.500
Si: 0.500 0.000 0.500
Sb: 0.500 0.500 0.000

Summary:
- Energy relative to the elements, uncorrected: 0.4483 eV per atom